(1)
The following is a SCAN calculation of a PBEsol-optimized structure of YTaCr2In, from Alexandria via LeMat-Bulk.

Calculated volume ... 24.86 Å³/atom
Crystal system ... tetragonal
Space group ... P4/mmm
ΔH_f (0 K) ... 1114 meV/atom

Lattice parameters (Å, degrees): 4.9101 4.9101 5.1556 90.00 90.00 90.00
Closest atoms and distances in Å follow each position.
Element x y z (fractional)
Y  0.0000  0.0000  0.0000  4 Ta 3.47, 8 Cr 3.56
Ta  0.5000  0.5000  0.0000  2 In 2.58
Cr  0.0000  0.5000  0.5000  2 In 2.46
Cr  0.5000  0.0000  0.5000  2 In 2.46
In  0.5000  0.5000  0.5000  4 Cr 2.46, 2 Ta 2.58

(2)
The following is a SCAN calculation of a PBEsol-optimized structure of Cr2InTc, from Alexandria via LeMat-Bulk.

Calculated volume ... 14.70 Å³/atom
Crystal system ... orthorhombic
Space group ... Pmmm
ΔH_f (0 K) ... 304 meV/atom

Lattice parameters (Å, degrees): 2.8738 3.6839 5.5531 90.00 90.00 90.00
Closest atoms and distances in Å follow each position.
Element x y z (fractional)
Cr  0.0000  0.0000  0.1878  1 Cr 2.09
Cr  0.0000  0.0000  0.8122  1 Cr 2.09
In  0.5000  0.5000  0.5000  2 Tc 2.78, 2 In 2.87, 8 Cr 2.91
Tc  0.5000  0.5000  0.0000  8 Cr 2.56, 2 In 2.78

(3)
The following is a SCAN calculation of a PBEsol-optimized structure of CrInTc, from Alexandria via LeMat-Bulk.

Distance to the lowest polymorph of the same formula ... 0.000 eV/f.u.
Calculated volume ... 15.14 Å³/atom
Crystal system ... trigonal
Space group ... P3m1
ΔH_f (0 K) ... 307 meV/atom

Lattice parameters (Å, degrees): 4.2167 4.2167 2.9500 90.00 90.00 120.00
Closest atoms and distances in Å follow each position.
Element x y z (fractional)
Cr  0.0000  0.0000  0.0000  3 Tc 2.46, 3 In 2.73
In  0.3333  0.6667  0.4221  6 Cr 2.73-2.97, 6 Tc 2.78-2.92, 2 In 2.95
Tc  0.6667  0.3333  0.8772  3 Cr 2.46

(4)
The following is a SCAN calculation of a PBEsol-optimized structure of CrInTc2, from Alexandria via LeMat-Bulk.

Calculated volume ... 14.85 Å³/atom
Crystal system ... cubic
Space group ... F-43m
ΔH_f (0 K) ... 266 meV/atom

Lattice parameters (Å, degrees): 6.1940 6.1940 6.1940 90.00 90.00 90.00
Closest atoms and distances in Å follow each position.
Element x y z (fractional)
Cr  0.0000  0.0000  0.0000  4 In 2.68, 4 Tc 2.68
Cr  0.0000  0.5000  0.5000  4 In 2.68, 4 Tc 2.68
Cr  0.5000  0.0000  0.5000  4 In 2.68, 4 Tc 2.68
Cr  0.5000  0.5000  0.0000  4 In 2.68, 4 Tc 2.68
In  0.2500  0.2500  0.2500  4 Cr 2.68, 4 Tc 2.68
In  0.2500  0.7500  0.7500  4 Cr 2.68, 4 Tc 2.68
In  0.7500  0.2500  0.7500  4 Cr 2.68, 4 Tc 2.68
In  0.7500  0.7500  0.2500  4 Cr 2.68, 4 Tc 2.68
Tc  0.0000  0.0000  0.5000  4 In 2.68, 4 Tc 2.68
Tc  0.0000  0.5000  0.0000  4 In 2.68, 4 Tc 2.68
Tc  0.2500  0.2500  0.7500  4 Cr 2.68, 4 Tc 2.68
Tc  0.2500  0.7500  0.2500  4 Cr 2.68, 4 Tc 2.68
Tc  0.5000  0.0000  0.0000  4 In 2.68, 4 Tc 2.68
Tc  0.5000  0.5000  0.5000  4 In 2.68, 4 Tc 2.68
Tc  0.7500  0.2500  0.2500  4 Cr 2.68, 4 Tc 2.68
Tc  0.7500  0.7500  0.7500  4 Cr 2.68, 4 Tc 2.68